# 1
This record from the Alexandria database describes Ac12TbPr6 after structural relaxation. The functional is PBE-GGA.

Geometry as POSCAR:
```
Ac12TbPr6
1.0
8.458 4.883 3.187
-8.458 4.883 3.187
0.000 -9.766 3.187
Ac Tb Pr
12 1 6
direct
0.065 0.584 0.376
0.102 0.155 0.738
0.155 0.738 0.102
0.262 0.898 0.845
0.376 0.065 0.584
0.416 0.624 0.935
0.584 0.376 0.065
0.624 0.935 0.416
0.738 0.102 0.155
0.845 0.262 0.898
0.898 0.845 0.262
0.935 0.416 0.624
0.000 0.000 0.000
0.214 0.317 0.467
0.317 0.467 0.214
0.467 0.214 0.317
0.533 0.786 0.683
0.683 0.533 0.786
0.786 0.683 0.533
```

Results
space group = R-3
density of states at the Fermi level = 36.34 states/eV per cell

---

# 2
This record from the Alexandria database describes TbDy4Y2Er2 after structural relaxation. The functional is PBE-GGA.

Geometry as POSCAR:
```
TbDy4Y2Er2
1.0
5.994 0.000 0.000
2.919 5.947 0.000
2.836 0.281 8.039
Tb Dy Y Er
1 4 2 2
direct
0.000 0.000 0.000
0.269 0.417 0.116
0.373 0.873 0.243
0.627 0.127 0.757
0.731 0.583 0.884
0.270 0.674 0.658
0.730 0.326 0.342
0.181 0.228 0.558
0.819 0.772 0.442
```

Results
space group = P-1
density of states at the Fermi level = 16.35 states/eV per cell

---

# 3
This record from the Alexandria database describes DySc4Rh after structural relaxation. The functional is PBE-GGA.

Geometry as POSCAR:
```
DySc4Rh
1.0
2.606 -8.547 0.000
2.606 8.547 0.000
0.000 0.000 6.960
Dy Sc Rh
2 8 2
direct
0.112 0.888 0.750
0.888 0.112 0.250
0.121 0.879 0.250
0.294 0.706 0.007
0.294 0.706 0.493
0.500 0.500 0.000
0.500 0.500 0.500
0.706 0.294 0.507
0.706 0.294 0.993
0.879 0.121 0.750
0.397 0.603 0.750
0.603 0.397 0.250
```

Results
space group = Cmcm
density of states at the Fermi level = 15.34 states/eV per cell

---

# 4
This record from the Alexandria database describes NdDy2InAu4 after structural relaxation. The functional is PBE-GGA.

Geometry as POSCAR:
```
NdDy2InAu4
1.0
2.527 1.459 8.417
-2.527 1.459 8.417
0.000 -2.918 8.417
Nd Dy In Au
1 2 1 4
direct
0.000 0.000 0.000
0.241 0.241 0.241
0.759 0.759 0.759
0.500 0.500 0.500
0.120 0.120 0.120
0.371 0.371 0.371
0.629 0.629 0.629
0.880 0.880 0.880
```

Results
space group = R-3m
density of states at the Fermi level = 5.37 states/eV per cell

---

# 5
This record from the Alexandria database describes LaAgGe2Bi after structural relaxation. The functional is PBE-GGA.

Geometry as POSCAR:
```
LaAgGe2Bi
1.0
5.617 0.000 0.000
0.000 5.617 0.000
0.000 0.000 6.141
La Ag Ge Bi
1 1 2 1
direct
0.000 0.000 0.000
0.500 0.500 0.500
0.000 0.500 0.000
0.500 0.000 0.000
0.000 0.000 0.500
```

Results
space group = P4/mmm
density of states at the Fermi level = 4.83 states/eV per cell

---

# 6
This record from the Alexandria database describes TbPmYS3 after structural relaxation. The functional is PBE-GGA.

Geometry as POSCAR:
```
TbPmYS3
1.0
6.852 0.000 0.000
0.000 3.882 0.000
-2.235 0.000 10.070
Tb Pm Y S
2 2 2 6
direct
0.235 0.250 0.444
0.765 0.750 0.556
0.341 0.750 0.804
0.659 0.250 0.196
0.127 0.750 0.130
0.873 0.250 0.870
0.053 0.250 0.658
0.279 0.250 0.998
0.454 0.750 0.336
0.546 0.250 0.664
0.721 0.750 0.002
0.947 0.750 0.342
```

Results
formation energy (no corrections) = -1937 meV per atom
space group = P2_1/m
density of states at the Fermi level = 6.98 states/eV per cell

---

Result set for uncorrected energy: -4.31, -4.92, -6.38, -4.47, -3.29, -6.64 eV per atom, one per record in the order listed.